No. 1
A relaxed Na3LiTl7 crystal, computed with PBE.

- Uncorrected energy: -2.06 eV per atom
- N(E_F): 5.27 states/eV/cell
- Calculated formation energy: -0.254 eV per formula unit

Cell lengths 8.1078, 8.1078, 5.6125 Å; angles 110.08, 110.08, 89.33 degrees
Sites, in units of the cell vectors:
Na1 0.0000 0.0000 0.0000
Na2 0.2196 0.7804 0.5000
Na3 0.7804 0.2196 0.5000
Li1 0.5000 0.5000 0.0000
Tl1 0.0751 0.5883 0.8327
Tl2 0.2051 0.2051 0.6926
Tl3 0.4117 0.9249 0.1673
Tl4 0.5000 0.5000 0.5000
Tl5 0.5883 0.0751 0.8327
Tl6 0.7949 0.7949 0.3074
Tl7 0.9249 0.4117 0.1673


No. 2
A relaxed Na2LiTl8 crystal, computed with PBE.

- Uncorrected energy: -2.21 eV per atom
- N(E_F): 3.42 states/eV/cell
- Relative energy among the computed polymorphs: 0.000 eV per atom
- Calculated formation energy: -0.838 eV per formula unit

Cell lengths 4.9247, 4.9247, 12.7128 Å; angles 90.00, 90.00, 90.00 degrees
Sites, in units of the cell vectors:
Na1 0.0000 0.0000 0.1869
Na2 0.0000 0.0000 0.8131
Li1 0.0000 0.0000 0.5000
Tl1 0.0000 0.5000 0.0000
Tl2 0.0000 0.5000 0.3722
Tl3 0.0000 0.5000 0.6278
Tl4 0.5000 0.0000 0.0000
Tl5 0.5000 0.0000 0.3722
Tl6 0.5000 0.0000 0.6278
Tl7 0.5000 0.5000 0.1848
Tl8 0.5000 0.5000 0.8152


No. 3
A relaxed NaLiTl4 crystal, computed with PBE.

- Uncorrected energy: -2.09 eV per atom
- N(E_F): 2.80 states/eV/cell
- Relative energy among the computed polymorphs: 0.134 eV per atom
- Calculated formation energy: 0.140 eV per formula unit

Cell lengths 4.8543, 4.8543, 9.0727 Å; angles 105.66, 105.66, 59.62 degrees
Sites, in units of the cell vectors:
Na1 0.0000 0.0000 0.0000
Li1 0.5000 0.5000 0.5000
Tl1 0.1328 0.1328 0.3996
Tl2 0.3880 0.3880 0.1717
Tl3 0.6120 0.6120 0.8283
Tl4 0.8672 0.8672 0.6004


No. 4
A relaxed Na6LiTl crystal, computed with PBE.

- Uncorrected energy: -1.55 eV per atom
- N(E_F): 4.53 states/eV/cell
- Relative energy among the computed polymorphs: 0.000 eV per atom
- Calculated formation energy: -0.169 eV per formula unit

Cell lengths 4.9518, 4.9518, 10.8531 Å; angles 102.51, 102.51, 90.18 degrees
Sites, in units of the cell vectors:
Na1 0.1078 0.6082 0.7212
Na2 0.2489 0.2489 0.9969
Na3 0.3918 0.8922 0.2788
Na4 0.6082 0.1078 0.7212
Na5 0.7511 0.7511 0.0031
Na6 0.8922 0.3918 0.2788
Li1 0.5000 0.5000 0.5000
Tl1 0.0000 0.0000 0.5000


> Among the records above, which one has the lowest N(E_F)?

NaLiTl4